one) Ac2CdAg4, optimized geometry, DFT GGA-PBE; crystal system = monoclinic; space-group type = P2/m, No. 10
1.0
4.267 0.000 0.000
0.000 4.742 -3.027
0.000 -0.749 9.945
Ag Cd Ac
4 1 2
direct
0.500 0.319 0.109
0.000 0.618 0.362
0.500 0.681 0.891
0.000 0.382 0.638
0.000 0.500 0.000
0.500 0.937 0.678
0.500 0.063 0.322

two) Ac2CdAg4, optimized geometry, DFT GGA-PBE; crystal system = tetragonal; space-group type = I4/mmm, No. 139
1.0
5.161 0.000 0.000
0.000 5.161 0.000
-2.581 -2.581 8.142
Ag Ac Cd
4 2 1
direct
0.500 0.000 0.000
0.000 0.500 0.000
0.170 0.170 0.340
0.830 0.830 0.660
0.635 0.635 0.271
0.365 0.365 0.729
0.000 0.000 0.000

The computed energies, referenced to the most stable structure and given in kJ/mol of atoms, are one) 0.0; two) 21.8.

one) AcCd6Ag4, optimized geometry, DFT GGA-PBE; crystal system = hexagonal; space-group type = P-6m2, No. 187
1.0
4.557 0.000 0.000
0.000 6.943 -4.009
0.000 0.000 8.017
Cd Ag Ac
6 4 1
direct
0.500 0.594 0.797
0.000 0.536 0.072
0.000 0.536 0.464
0.000 0.928 0.464
0.500 0.203 0.797
0.500 0.203 0.406
0.500 0.407 0.204
0.500 0.796 0.593
0.500 0.796 0.204
0.000 0.333 0.667
0.000 0.000 0.000

two) AcCd6Ag4, optimized geometry, DFT GGA-PBE; crystal system = tetragonal; space-group type = I-42m, No. 121
1.0
7.312 -0.197 -0.289
-3.555 6.392 0.289
-3.555 -2.081 6.051
Cd Ag Ac
6 4 1
direct
0.500 0.500 0.000
0.618 0.106 0.106
0.000 0.511 0.894
0.382 0.489 0.489
0.500 0.000 0.500
0.000 0.894 0.511
0.000 0.588 0.257
0.331 0.743 0.743
0.669 0.412 0.412
0.000 0.257 0.588
0.000 0.000 0.000

The computed energies, referenced to the most stable structure and given in kJ/mol of atoms, are one) 0.0; two) 7.3.

one) Ac2Cd3Ag4, optimized geometry, DFT GGA-PBE; crystal system = orthorhombic; space-group type = Fmmm, No. 69
1.0
-4.490 -1.183 3.356
-0.273 -5.201 2.690
1.479 2.321 7.688
Cd Ac Ag
3 2 4
direct
0.000 0.500 0.000
0.500 0.500 0.000
0.000 0.000 0.000
0.358 0.000 0.283
0.642 0.000 0.717
0.001 0.341 0.656
0.657 0.341 0.344
0.999 0.659 0.344
0.343 0.659 0.656

two) Ac2Cd3Ag4, optimized geometry, DFT GGA-PBE; crystal system = orthorhombic; space-group type = Cmce, No. 64
1.0
6.297 0.000 0.000
0.000 8.522 0.000
-3.148 0.000 8.498
Ag Cd Ac
8 6 4
direct
0.821 0.028 0.643
0.197 0.750 0.895
0.303 0.250 0.105
0.803 0.250 0.105
0.321 0.472 0.643
0.179 0.972 0.357
0.679 0.528 0.357
0.697 0.750 0.895
0.500 0.500 0.000
0.528 0.750 0.556
0.972 0.250 0.444
0.000 0.000 0.000
0.028 0.750 0.556
0.472 0.250 0.444
0.114 0.582 0.229
0.386 0.082 0.771
0.886 0.418 0.771
0.614 0.918 0.229

The computed energies, referenced to the most stable structure and given in kJ/mol of atoms, are one) 0.0; two) 2.1.

one) AcCd2Ag4, optimized geometry, DFT GGA-PBE; crystal system = tetragonal; space-group type = I4/mmm, No. 139
1.0
6.602 -0.859 0.000
-3.451 5.693 0.000
-1.575 -2.417 6.000
Cd Ac Ag
2 1 4
direct
0.250 0.750 0.500
0.750 0.250 0.500
0.000 0.000 0.000
0.276 0.500 0.776
0.724 0.500 0.224
0.500 0.724 0.224
0.500 0.276 0.776

two) AcCd2Ag4, optimized geometry, DFT GGA-PBE; crystal system = tetragonal; space-group type = I4/mmm, No. 139
1.0
4.952 0.000 2.859
2.476 5.222 1.429
-0.135 0.000 5.952
Cd Ac Ag
2 1 4
direct
0.750 0.500 0.500
0.250 0.500 0.500
0.000 0.000 0.000
0.691 0.617 0.000
0.691 0.000 0.617
0.309 0.383 0.000
0.309 0.000 0.383

The computed energies, referenced to the most stable structure and given in kJ/mol of atoms, are one) 39.5; two) 0.0.